Record 1
The following is a PBE-GGA calculation of crystalline Cd2In8Ga at its relaxed geometry, from Alexandria via LeMat-Bulk.

Cell: 9.5341 9.5341 7.0168 Å, 108.88 108.88 28.90°
Atoms (fractional coordinates):
Cd1 0.1798 0.1798 0.2250
Cd2 0.8202 0.8202 0.7750
In1 0.0174 0.0174 0.2572
In2 0.2064 0.2064 0.8091
In3 0.3463 0.3463 0.5147
In4 0.4073 0.4073 0.0398
In5 0.5927 0.5927 0.9602
In6 0.6537 0.6537 0.4853
In7 0.7936 0.7936 0.1909
In8 0.9826 0.9826 0.7428
Ga1 0.5000 0.5000 0.5000

Computed properties:
final energy = -2.385 eV per atom
symmetry = C2/m (12)
crystal system = monoclinic
distance to the lowest polymorph of the same formula = 0.23 kcal/mol of atoms


Record 2
The following is a PBE-GGA calculation of crystalline Cd8In2Ga3 at its relaxed geometry, from Alexandria via LeMat-Bulk.

Cell: 8.1687 8.1687 5.3808 Å, 90.27 90.27 58.95°
Atoms (fractional coordinates):
Cd1 0.0492 0.0492 0.2560
Cd2 0.1255 0.5430 0.6648
Cd3 0.3184 0.3184 0.1785
Cd4 0.4570 0.8745 0.3352
Cd5 0.5430 0.1255 0.6648
Cd6 0.6816 0.6816 0.8215
Cd7 0.8745 0.4570 0.3352
Cd8 0.9508 0.9508 0.7440
In1 0.1603 0.1603 0.7716
In2 0.8397 0.8397 0.2284
Ga1 0.3306 0.6694 0.0000
Ga2 0.5000 0.5000 0.5000
Ga3 0.6694 0.3306 0.0000

Computed properties:
final energy = -1.607 eV per atom
symmetry = C2/m (12)
crystal system = monoclinic
distance to the lowest polymorph of the same formula = 0.08 kcal/mol of atoms


Record 3
The following is a PBE-GGA calculation of crystalline CdIn2Ga9 at its relaxed geometry, from Alexandria via LeMat-Bulk.

Cell: 4.1348 4.1348 14.6281 Å, 90.00 90.00 90.00°
Atoms (fractional coordinates):
Cd1 0.0000 0.0000 0.0000
In1 0.0000 0.0000 0.3276
In2 0.0000 0.0000 0.6724
Ga1 0.0000 0.5000 0.1623
Ga2 0.0000 0.5000 0.5000
Ga3 0.0000 0.5000 0.8377
Ga4 0.5000 0.0000 0.1623
Ga5 0.5000 0.0000 0.5000
Ga6 0.5000 0.0000 0.8377
Ga7 0.5000 0.5000 0.0000
Ga8 0.5000 0.5000 0.3400
Ga9 0.5000 0.5000 0.6600

Computed properties:
final energy = -2.757 eV per atom
symmetry = P4/mmm (123)
crystal system = tetragonal


Record 4
The following is a PBE-GGA calculation of crystalline CdIn17Ga11 at its relaxed geometry, from Alexandria via LeMat-Bulk.

Cell: 9.2687 9.2687 9.2769 Å, 104.39 104.39 104.81°
Atoms (fractional coordinates):
Cd1 0.0000 0.0000 0.0000
In1 0.0212 0.3722 0.5866
In2 0.0335 0.6627 0.8718
In3 0.0342 0.6757 0.4864
In4 0.0347 0.0347 0.5453
In5 0.0357 0.2893 0.8951
In6 0.0385 0.3220 0.2502
In7 0.2765 0.6805 0.2466
In8 0.2893 0.0357 0.8951
In9 0.3220 0.0385 0.2502
In10 0.3722 0.0212 0.5866
In11 0.3764 0.3764 0.6057
In12 0.3843 0.3843 0.2593
In13 0.6627 0.0335 0.8718
In14 0.6695 0.6695 0.2593
In15 0.6757 0.0342 0.4864
In16 0.6776 0.6776 0.8944
In17 0.6805 0.2765 0.2466
Ga1 0.0058 0.8155 0.2200
Ga2 0.3262 0.7141 0.7465
Ga3 0.3383 0.5232 0.9433
Ga4 0.4890 0.8605 0.0785
Ga5 0.5056 0.7123 0.5530
Ga6 0.5232 0.3383 0.9433
Ga7 0.7123 0.5056 0.5530
Ga8 0.7141 0.3262 0.7465
Ga9 0.8155 0.0058 0.2200
Ga10 0.8319 0.8319 0.6665
Ga11 0.8605 0.4890 0.0785

Computed properties:
final energy = -2.749 eV per atom
symmetry = Cm (8)
crystal system = monoclinic


Record 5
The following is a PBE-GGA calculation of crystalline Cd2In2Ga at its relaxed geometry, from Alexandria via LeMat-Bulk.

Cell: 4.0645 4.0645 15.9232 Å, 90.00 90.00 90.00°
Atoms (fractional coordinates):
Cd1 0.0000 0.5000 0.2500
Cd2 0.0000 0.5000 0.7500
Cd3 0.5000 0.0000 0.2500
Cd4 0.5000 0.0000 0.7500
In1 0.0000 0.0000 0.0965
In2 0.0000 0.0000 0.9035
In3 0.5000 0.5000 0.4035
In4 0.5000 0.5000 0.5965
Ga1 0.0000 0.0000 0.5000
Ga2 0.5000 0.5000 0.0000

Computed properties:
final energy = -1.916 eV per atom
symmetry = I4/mmm (139)
crystal system = tetragonal
distance to the lowest polymorph of the same formula = 2.45 kcal/mol of atoms


Record 6
The following is a PBE-GGA calculation of crystalline Cd3InGa3 at its relaxed geometry, from Alexandria via LeMat-Bulk.

Cell: 7.6003 7.6003 7.6003 Å, 90.00 90.00 90.00°
Atoms (fractional coordinates):
Cd1 0.0000 0.2500 0.5000
Cd2 0.0000 0.7500 0.5000
Cd3 0.2500 0.5000 0.0000
Cd4 0.5000 0.0000 0.2500
Cd5 0.5000 0.0000 0.7500
Cd6 0.7500 0.5000 0.0000
In1 0.0000 0.0000 0.0000
In2 0.5000 0.5000 0.5000
Ga1 0.0000 0.5000 0.2500
Ga2 0.0000 0.5000 0.7500
Ga3 0.2500 0.0000 0.5000
Ga4 0.5000 0.2500 0.0000
Ga5 0.5000 0.7500 0.0000
Ga6 0.7500 0.0000 0.5000

Computed properties:
final energy = -1.700 eV per atom
symmetry = Pm-3n (223)
crystal system = cubic
distance to the lowest polymorph of the same formula = 7.54 kcal/mol of atoms